1.
Density functional theory data (GGA-PBE) for a geometry-optimized CaZrCr structure.

Structure (extended XYZ):
```
12
Lattice="6.825 0.000 0.000 0.000 6.825 0.000 0.000 0.000 6.825" Properties=species:S:1:pos:R:3 pbc="T T T"
Ca 0.000 0.000 0.000
Ca 0.000 3.412 3.412
Ca 3.412 0.000 3.412
Ca 3.412 3.412 0.000
Zr 0.000 0.000 3.412
Zr 0.000 3.412 0.000
Zr 3.412 0.000 0.000
Zr 3.412 3.412 3.412
Cr 1.706 1.706 1.706
Cr 1.706 5.119 5.119
Cr 5.119 1.706 5.119
Cr 5.119 5.119 1.706
```

* E_form: 937 meV/atom
* crystal system: cubic
* volume: 26.5 A^3/atom
* N(E_F): 1.36 states/eV/atom
* offset from the most stable computed form: 47.94 kJ/mol of atoms
* symmetry: F-43m, No. 216



2.
Density functional theory data (GGA-PBE) for a geometry-optimized SrPb5 structure.

Structure (extended XYZ):
```
6
Lattice="4.127 0.000 0.000 0.000 4.127 0.000 0.000 0.000 11.527" Properties=species:S:1:pos:R:3 pbc="T T T"
Sr 0.000 0.000 0.000
Pb 0.000 0.000 3.864
Pb 0.000 0.000 7.663
Pb 2.064 2.064 2.142
Pb 2.064 2.064 5.764
Pb 2.064 2.064 9.386
```

* E_form: -130 meV/atom
* crystal system: tetragonal
* volume: 32.7 A^3/atom
* N(E_F): 0.59 states/eV/atom
* offset from the most stable computed form: 6.37 kJ/mol of atoms
* symmetry: P4/mmm, No. 123



What is the offset from the most stable computed form in the first record?
47.94 kJ/mol of atoms



The highest N(E_F) belongs to which entry?
CaZrCr



N(E_F) of number 2 (SrPb5)?
0.59 states/eV/atom



Among the records above, which one has the highest volume?
SrPb5